Compound: BaNaZnO2
Source: Alexandria
Functional: PBE
Structure: optimized geometry

Unit cell a=4.4770 b=6.2057 c=6.9623 alpha=98.67 beta=90.00 gamma=90.00
Closest atoms and distances in Å follow each position.
Fractional coordinates of all 10 atoms:
O: 0.2666 0.7483 0.4524  1 Zn 1.95
O: 0.2666 0.2517 0.0476  1 Zn 1.95
O: 0.7334 0.2517 0.5476  1 Zn 1.95
O: 0.7334 0.7483 0.9524  1 Zn 1.95
Na: 0.5204 0.0000 0.7500  4 O 2.45-2.65
Na: 0.4796 0.0000 0.2500  4 O 2.45-2.65
Ba: 0.7661 0.5000 0.2500  6 O 2.77-2.95
Ba: 0.2339 0.5000 0.7500  6 O 2.77-2.95
Zn: 0.0000 0.0000 0.0000  2 O 1.95
Zn: 0.0000 0.0000 0.5000  2 O 1.95

## Properties
space group	P2/c
uncorrected formation energy	-1.368	eV/atom
D(E_F)	5.4	states/eV/cell

***

Compound: BaNaZr2O
Source: Alexandria
Functional: PBE
Structure: optimized geometry

Unit cell a=5.9244 b=4.6197 c=5.9244 alpha=90.00 beta=90.00 gamma=90.00
Closest atoms and distances in Å follow each position.
Fractional coordinates of all 5 atoms:
Zr: 0.0000 0.0000 0.5000  2 Ba 2.96
Zr: 0.5000 0.0000 0.0000  2 Ba 2.96
Na: 0.5000 0.5000 0.5000  8 Zr 3.76, 4 O 4.19
Ba: 0.0000 0.0000 0.0000  2 O 2.31
O: 0.0000 0.5000 0.0000  2 Ba 2.31

## Properties
space group	P4/mmm
uncorrected formation energy	1.234	eV/atom
D(E_F)	7.1	states/eV/cell

***

Compound: BaNaZrO4
Source: Alexandria
Functional: PBE
Structure: optimized geometry

Unit cell a=4.2007 b=4.2007 c=7.3018 alpha=106.72 beta=106.72 gamma=90.00
Closest atoms and distances in Å follow each position.
Fractional coordinates of all 7 atoms:
Zr: 0.0099 0.0099 0.0198  5 O 2.00-2.11
O: 0.9940 0.4940 0.9880  2 Zr 2.11
O: 0.8392 0.8392 0.6784  1 Zr 2.28, 1 Na 2.50
O: 0.1598 0.1598 0.3197  1 Zr 2.00
O: 0.4940 0.9940 0.9880  2 Zr 2.11
Ba: 0.3514 0.3514 0.7028  5 O 2.56-2.83
Na: 0.6517 0.6517 0.3034  1 O 2.50

## Properties
space group	I4mm
uncorrected formation energy	-2.434	eV/atom
D(E_F)	5.0	states/eV/cell